Compound: Cr2RhSeF
Source: the Alexandria database
Functional: PBE+U
Structure: relaxed

## Properties
Space group: P4/mmm, No. 123
Uncorrected energy (eV per atom): -5.545

Cell lengths 4.291, 4.291, 4.644 Å; angles 90.00, 90.00, 90.00 degrees
Sites, in units of the cell vectors:
Cr (0.000, 0.500, 0.000)
Cr (0.500, 0.000, 0.000)
Rh (0.000, 0.000, 0.500)
Se (0.500, 0.500, 0.500)
F (0.000, 0.000, 0.000)